{
  "formula": "AlZnB3",
  "functional": "PBE-GGA",
  "state": "relaxed",
  "relative_energy_ev_per_atom": 0.000,
  "cell": [[4.168, 0.000, 0.000], [0.000, 4.168, 0.000], [0.000, 0.000, 4.168]],
  "species": ["Al", "Zn", "B", "B", "B"],
  "frac_coords": [[0.000, 0.000, 0.000], [0.500, 0.500, 0.500], [0.000, 0.000, 0.500], [0.000, 0.500, 0.000], [0.500, 0.000, 0.000]]
}

{
  "formula": "AlZnB",
  "functional": "PBE-GGA",
  "state": "relaxed",
  "cell": [[3.036, 0.000, 0.000], [0.005, 4.007, 0.000], [1.465, 0.591, 6.775]],
  "species": ["Al", "Al", "Zn", "Zn", "B", "B"],
  "frac_coords": [[0.000, 0.000, 0.000], [0.344, 0.165, 0.321], [0.142, 0.522, 0.726], [0.682, 0.033, 0.644], [0.420, 0.678, 0.166], [0.932, 0.489, 0.142]]
}

{
  "formula": "AlZnB2",
  "functional": "PBE-GGA",
  "state": "relaxed",
  "relative_energy_ev_per_atom": 0.024,
  "cell": [[-2.869, 2.869, 3.133], [2.869, -2.869, 3.133], [2.869, 2.869, -3.133]],
  "species": ["Al", "Al", "Zn", "Zn", "B", "B", "B", "B"],
  "frac_coords": [[0.000, 0.000, 0.000], [0.750, 0.250, 0.500], [0.250, 0.750, 0.500], [0.500, 0.500, 0.000], [0.130, 0.625, 0.005], [0.375, 0.380, 0.505], [0.620, 0.125, 0.995], [0.875, 0.870, 0.495]]
}

{
  "formula": "AlZnB",
  "functional": "PBE-GGA",
  "state": "relaxed",
  "cell": [[3.001, 0.000, 0.000], [-1.478, 5.147, 0.000], [-0.022, -0.957, 5.387]],
  "species": ["Al", "Al", "Zn", "Zn", "B", "B"],
  "frac_coords": [[0.000, 0.000, 0.000], [0.367, 0.731, 0.608], [0.650, 0.309, 0.724], [0.702, 0.404, 0.251], [0.492, 0.983, 0.322], [0.919, 0.835, 0.332]]
}

{
  "formula": "AlZnB",
  "functional": "PBE-GGA",
  "state": "relaxed",
  "cell": [[3.064, 0.000, 0.000], [-1.504, 4.801, 0.000], [-0.042, -1.854, 5.256]],
  "species": ["Al", "Al", "Zn", "Zn", "B", "B"],
  "frac_coords": [[0.160, 0.322, 0.136], [0.840, 0.678, 0.864], [0.455, 0.908, 0.268], [0.545, 0.092, 0.732], [0.296, 0.593, 0.531], [0.704, 0.407, 0.469]]
}

{
  "formula": "AlZnB",
  "functional": "PBE-GGA",
  "state": "relaxed",
  "cell": [[2.974, 0.000, 0.000], [-0.153, 5.511, 0.000], [-1.390, -2.579, 5.098]],
  "species": ["Al", "Al", "Zn", "Zn", "B", "B"],
  "frac_coords": [[0.000, 0.000, 0.000], [0.225, 0.924, 0.422], [0.368, 0.546, 0.745], [0.663, 0.466, 0.316], [0.444, 0.216, 0.865], [0.877, 0.186, 0.725]]
}

Calculated magnetization (μB/cell), listed in the same order as above: 0.00; 0.00; 0.00; 0.00; 0.00; 0.00
Calculated energy relative to the elements (kJ/mol of atoms), listed in the same order as above: 173; 12; 101; 18; 15; 19